Entry 1:
Computed, not measured: LaReNO after structural relaxation at the PBE-GGA level of DFT.

Structure (POSCAR):
```
LaReNO
1.0
5.176 0.000 0.000
0.000 5.176 0.000
0.000 0.000 4.368
La Re N O
2 2 2 2
Direct
0.250 0.750 0.000
0.750 0.250 0.000
0.250 0.250 0.499
0.750 0.750 0.501
0.250 0.250 0.999
0.750 0.750 0.001
0.250 0.750 0.500
0.750 0.250 0.500
```

Results
* magnetic moment: 1.1 μB per formula unit
* space group: P4/nmm (129)
* crystal system: tetragonal
* energy above the most stable polymorph in this dataset: 928 meV/atom

Entry 2:
Computed, not measured: YHf2Pt after structural relaxation at the PBE-GGA level of DFT.

Structure (POSCAR):
```
YHf2Pt
1.0
6.955 0.000 0.000
0.000 6.955 0.000
0.000 0.000 6.955
Y Hf Pt
4 8 4
Direct
0.000 0.000 0.000
0.000 0.500 0.500
0.500 0.000 0.500
0.500 0.500 0.000
0.000 0.000 0.500
0.000 0.500 0.000
0.250 0.250 0.250
0.250 0.750 0.750
0.500 0.000 0.000
0.500 0.500 0.500
0.750 0.250 0.750
0.750 0.750 0.250
0.250 0.250 0.750
0.250 0.750 0.250
0.750 0.250 0.250
0.750 0.750 0.750
```

Results
* magnetic moment: 2.0 μB per formula unit
* space group: F-43m (216)
* formation enthalpy at 0 K: -0.194 eV/atom
* crystal system: cubic

Entry 3:
Computed, not measured: LaTmGa2I2 after structural relaxation at the PBE-GGA level of DFT.

Structure (POSCAR):
```
LaTmGa2I2
1.0
4.263 0.000 0.000
-2.131 3.692 0.000
0.000 0.000 12.430
La Tm Ga I
1 1 2 2
Direct
0.000 0.000 0.000
0.000 0.000 0.667
0.333 0.667 0.853
0.667 0.333 0.798
0.333 0.667 0.512
0.667 0.333 0.174
```

Results
* magnetic moment: 0.0 μB per formula unit
* space group: P3m1 (156)
* E: -4.141 eV/atom
* crystal system: trigonal

Entry 4:
Computed, not measured: KAg3MoSe4 after structural relaxation at the PBE-GGA level of DFT.

Structure (POSCAR):
```
KAg3MoSe4
1.0
6.471 0.000 0.000
0.000 6.471 0.000
0.000 0.000 6.471
K Ag Mo Se
1 3 1 4
Direct
0.000 0.000 0.000
0.000 0.500 0.500
0.500 0.000 0.500
0.500 0.500 0.000
0.500 0.500 0.500
0.280 0.280 0.280
0.280 0.720 0.720
0.720 0.280 0.720
0.720 0.720 0.280
```

Results
* magnetic moment: 2.0 μB per formula unit
* space group: P-43m (215)
* E: -4.143 eV/atom
* crystal system: cubic

Look up the magnetic moment of the first one.
1.1 μB per formula unit

magnetic moment of number 1 (LaReNO)?
1.1 μB per formula unit

Please write out number 4 again, unchanged.
Computed, not measured: KAg3MoSe4 after structural relaxation at the PBE-GGA level of DFT.

Structure (POSCAR):
```
KAg3MoSe4
1.0
6.471 0.000 0.000
0.000 6.471 0.000
0.000 0.000 6.471
K Ag Mo Se
1 3 1 4
Direct
0.000 0.000 0.000
0.000 0.500 0.500
0.500 0.000 0.500
0.500 0.500 0.000
0.500 0.500 0.500
0.280 0.280 0.280
0.280 0.720 0.720
0.720 0.280 0.720
0.720 0.720 0.280
```

Results
* magnetic moment: 2.0 μB per formula unit
* space group: P-43m (215)
* E: -4.143 eV/atom
* crystal system: cubic